Below is Ba4In3 after structural relaxation, with properties calculated at the GGA-PBE level.

Output
The calculation puts the density of states at the Fermi level at 12.82 states/eV/cell. The value obtained for the energy relative to the elements is -0.326 eV per atom. For the size of the total moment, the calculation gives 0.000 μB per atom. As for the crystal system: trigonal. As for the volume: 41.0 Å³/atom.

Unit cell a=7.4337 b=9.7628 c=9.7628 alpha=113.79 beta=104.70 gamma=104.70
Last column: nearest neighbours and their distance in Å.
Fractional positions:
Ba (0.5000, 0.0000, 0.0000)  6 In 3.52, 2 Ba 3.72
Ba (0.0000, 0.0000, 0.0000)  8 Ba 3.72-4.06, 6 In 4.09
Ba (0.9070, 0.6879, 0.5364)  7 In 3.69-3.93, 4 Ba 4.02-4.10
Ba (0.3706, 0.4636, 0.1515)  7 In 3.69-3.93, 4 Ba 4.02-4.10
Ba (0.2191, 0.8485, 0.3121)  7 In 3.69-3.93, 4 Ba 4.02-4.10
Ba (0.0930, 0.3121, 0.4636)  7 In 3.69-3.93, 4 Ba 4.02-4.10
Ba (0.6294, 0.5364, 0.8485)  7 In 3.69-3.93, 4 Ba 4.02-4.10
Ba (0.7809, 0.1515, 0.6879)  7 In 3.69-3.93, 4 Ba 4.02-4.10
In (0.1560, 0.6071, 0.8745)  8 Ba 3.52-3.93
In (0.2815, 0.1255, 0.7326)  8 Ba 3.52-3.93
In (0.5489, 0.2674, 0.3929)  8 Ba 3.52-3.93
In (0.8440, 0.3929, 0.1255)  8 Ba 3.52-3.93
In (0.7185, 0.8745, 0.2674)  8 Ba 3.52-3.93
In (0.4511, 0.7326, 0.6071)  8 Ba 3.52-3.93



Below is Hg3SeN2 after structural relaxation, with properties calculated at the GGA-PBE level.

Output
The calculation puts the density of states at the Fermi level at 1.56 states/eV/cell. For the size of the total moment, the calculation gives 0.000 μB per atom. As for the crystal system: monoclinic. As for the volume: 27.1 Å³/atom. As for the uncorrected formation energy: 0.75 eV/atom.

Unit cell a=6.8779 b=6.8779 c=26.6725 alpha=114.73 beta=114.73 gamma=127.48
Last column: nearest neighbours and their distance in Å.
Fractional positions:
Hg (0.5041, 0.7424, 0.5429)  2 N 2.32-2.58
Hg (0.2576, 0.4959, 0.9571)  2 N 2.32-2.58
Hg (0.4959, 0.2576, 0.4571)  2 N 2.32-2.58
Hg (0.7424, 0.5041, 0.0429)  2 N 2.32-2.58
Hg (0.3112, 0.6888, 0.2500)  2 N 2.57, 2 Hg 2.74
Hg (0.6888, 0.3112, 0.7500)  2 N 2.57, 2 Hg 2.74
Se (0.0505, 0.9495, 0.2500)  2 N 1.75
Se (0.9495, 0.0505, 0.7500)  2 N 1.75
N (0.3271, 0.0548, 0.2409)  1 Se 1.75
N (0.9452, 0.6729, 0.2591)  1 Se 1.75
N (0.6729, 0.9452, 0.7591)  1 Se 1.75
N (0.0548, 0.3271, 0.7409)  1 Se 1.75



Below is BaSc2Cl after structural relaxation, with properties calculated at the GGA-PBE level.

Output
The calculation puts the density of states at the Fermi level at 5.46 states/eV/cell. The offset from the most stable computed form is 0.573 eV per atom. For the size of the total moment, the calculation gives 0.669 μB per atom. As for the crystal system: tetragonal. As for the volume: 30.7 Å³/atom. As for the uncorrected formation energy: 0.08 eV/atom.

Unit cell a=5.9749 b=5.9749 c=5.9749 alpha=129.81 beta=129.81 gamma=73.71
Last column: nearest neighbours and their distance in Å.
Fractional positions:
Ba (0.5000, 0.5000, 0.0000)  4 Cl 3.48, 8 Sc 3.48-3.58
Cl (0.7500, 0.2500, 0.5000)  4 Ba 3.48, 8 Sc 3.48-3.58
Sc (0.0000, 0.0000, 0.0000)  4 Cl 3.48, 4 Sc 3.48, 4 Ba 3.58
Sc (0.2500, 0.7500, 0.5000)  4 Ba 3.48, 4 Sc 3.48, 4 Cl 3.58